Computed, not measured: a relaxed structure of LaPrI6 at the PBE level of DFT.

Unit cell a=8.276 b=8.276 c=7.822 alpha=98.12 beta=98.12 gamma=123.70
Sites, in units of the cell vectors:
La: 0.000 0.000 0.000
Pr: 0.500 0.500 0.500
I: 0.102 0.401 0.253
I: 0.252 0.252 0.751
I: 0.401 0.102 0.253
I: 0.599 0.898 0.747
I: 0.748 0.748 0.249
I: 0.898 0.599 0.747

Results
Electronic total energy in eV/cell: -30.5
Distance to the lowest polymorph of the same formula in meV/atom: 0
Raw formation energy in eV per atom: -1.4311
Mass density in g/cm³: 4.07
Crystal system: monoclinic


Computed, not measured: a relaxed structure of La2PrI at the PBE level of DFT.

Unit cell a=3.782 b=3.782 c=9.946 alpha=90.00 beta=90.00 gamma=90.00
Sites, in units of the cell vectors:
La: 0.000 0.000 0.240
La: 0.000 0.000 0.760
Pr: 0.500 0.500 0.500
I: 0.500 0.500 0.000

Results
Electronic total energy in eV/cell: -17.8
Distance to the lowest polymorph of the same formula in meV/atom: 49
Raw formation energy in eV per atom: -0.3970
Mass density in g/cm³: 6.37
Crystal system: tetragonal


Computed, not measured: a relaxed structure of LaPrI2 at the PBE level of DFT.

Unit cell a=5.577 b=5.577 c=5.577 alpha=60.00 beta=60.00 gamma=60.00
Sites, in units of the cell vectors:
La: 0.000 0.000 0.000
Pr: 0.500 0.500 0.500
I: 0.250 0.250 0.250
I: 0.750 0.750 0.750

Results
Electronic total energy in eV/cell: -16.4
Distance to the lowest polymorph of the same formula in meV/atom: 69
Raw formation energy in eV per atom: -0.8873
Mass density in g/cm³: 7.22
Crystal system: cubic


Computed, not measured: a relaxed structure of LaPr4I8 at the PBE level of DFT.

Unit cell a=9.458 b=9.458 c=9.458 alpha=60.00 beta=60.00 gamma=60.00
Sites, in units of the cell vectors:
La: 0.000 0.000 0.000
Pr: 0.095 0.635 0.635
Pr: 0.635 0.095 0.635
Pr: 0.635 0.635 0.095
Pr: 0.635 0.635 0.635
I: 0.385 0.385 0.385
I: 0.385 0.385 0.844
I: 0.385 0.844 0.385
I: 0.391 0.870 0.870
I: 0.844 0.385 0.385
I: 0.870 0.391 0.870
I: 0.870 0.870 0.391
I: 0.870 0.870 0.870

Results
Electronic total energy in eV/cell: -49.0
Raw formation energy in eV per atom: -0.9667
Mass density in g/cm³: 4.77
Crystal system: cubic


Computed, not measured: a relaxed structure of La5PrI12 at the PBE level of DFT.

Unit cell a=7.469 b=7.469 c=16.608 alpha=90.03 beta=90.03 gamma=120.04
Sites, in units of the cell vectors:
La: 0.000 0.000 0.000
La: 0.167 0.833 0.500
La: 0.333 0.667 0.000
La: 0.667 0.333 0.000
La: 0.833 0.167 0.500
Pr: 0.500 0.500 0.500
I: 0.000 0.333 0.874
I: 0.000 0.667 0.126
I: 0.168 0.500 0.375
I: 0.169 0.169 0.625
I: 0.333 0.000 0.874
I: 0.334 0.334 0.126
I: 0.500 0.168 0.375
I: 0.500 0.832 0.625
I: 0.666 0.666 0.874
I: 0.667 0.000 0.126
I: 0.831 0.831 0.375
I: 0.832 0.500 0.625

Results
Electronic total energy in eV/cell: -72.7
Raw formation energy in eV per atom: -1.3701
Mass density in g/cm³: 4.88
Crystal system: monoclinic


Computed, not measured: a relaxed structure of LaPrI at the PBE level of DFT.

Unit cell a=7.831 b=7.831 c=7.831 alpha=151.85 beta=151.85 gamma=40.23
Sites, in units of the cell vectors:
La: 0.000 0.000 0.000
Pr: 0.683 0.683 0.000
I: 0.341 0.341 0.000

Results
Electronic total energy in eV/cell: -12.8
Distance to the lowest polymorph of the same formula in meV/atom: 99
Raw formation energy in eV per atom: -0.5053
Mass density in g/cm³: 6.33
Crystal system: tetragonal


Computed, not measured: a relaxed structure of La2PrI at the PBE level of DFT.

Unit cell a=11.254 b=11.254 c=11.254 alpha=20.01 beta=20.01 gamma=20.01
Sites, in units of the cell vectors:
La: 0.000 0.000 0.000
La: 0.179 0.179 0.179
Pr: 0.756 0.756 0.756
I: 0.590 0.590 0.590

Results
Electronic total energy in eV/cell: -17.9
Distance to the lowest polymorph of the same formula in meV/atom: 16
Raw formation energy in eV per atom: -0.4302
Mass density in g/cm³: 6.20
Crystal system: trigonal


Computed, not measured: a relaxed structure of La2PrI at the PBE level of DFT.

Unit cell a=11.266 b=11.266 c=11.266 alpha=19.91 beta=19.91 gamma=19.91
Sites, in units of the cell vectors:
La: 0.245 0.245 0.245
La: 0.755 0.755 0.755
Pr: 0.000 0.000 0.000
I: 0.500 0.500 0.500

Results
Electronic total energy in eV/cell: -18.0
Distance to the lowest polymorph of the same formula in meV/atom: 0
Raw formation energy in eV per atom: -0.4460
Mass density in g/cm³: 6.24
Crystal system: trigonal


Computed, not measured: a relaxed structure of La2PrPt2I2 at the PBE level of DFT.

Unit cell a=9.179 b=9.179 c=9.179 alpha=145.53 beta=145.53 gamma=49.54
Sites, in units of the cell vectors:
La: 0.104 0.104 0.000
La: 0.896 0.896 0.000
Pr: 0.500 0.500 0.000
Pt: 0.000 0.500 0.500
Pt: 0.500 0.000 0.500
I: 0.303 0.303 0.000
I: 0.697 0.697 0.000

Results
Electronic total energy in eV/cell: -36.5
Raw formation energy in eV per atom: -0.9486
Mass density in g/cm³: 7.16
Crystal system: tetragonal


Computed, not measured: a relaxed structure of La2PrRh2I2 at the PBE level of DFT.

Unit cell a=9.254 b=9.254 c=9.254 alpha=147.02 beta=147.02 gamma=47.34
Sites, in units of the cell vectors:
La: 0.105 0.105 0.000
La: 0.895 0.895 0.000
Pr: 0.500 0.500 0.000
Rh: 0.000 0.500 0.500
Rh: 0.500 0.000 0.500
I: 0.305 0.305 0.000
I: 0.695 0.695 0.000

Results
Electronic total energy in eV/cell: -37.5
Raw formation energy in eV per atom: -0.7165
Mass density in g/cm³: 6.23
Crystal system: tetragonal


Computed, not measured: a relaxed structure of LaPrRhI at the PBE level of DFT.

Unit cell a=8.653 b=8.653 c=8.653 alpha=28.13 beta=28.13 gamma=28.13
Sites, in units of the cell vectors:
La: 0.000 0.000 0.000
Pr: 0.209 0.209 0.209
Rh: 0.607 0.607 0.607
I: 0.439 0.439 0.439

Results
Electronic total energy in eV/cell: -22.6
Raw formation energy in eV per atom: -0.9885
Mass density in g/cm³: 6.65
Crystal system: trigonal


Computed, not measured: a relaxed structure of LaPrRuI at the PBE level of DFT.

Unit cell a=8.595 b=8.595 c=8.595 alpha=28.18 beta=28.18 gamma=28.18
Sites, in units of the cell vectors:
La: 0.000 0.000 0.000
Pr: 0.210 0.210 0.210
Ru: 0.609 0.609 0.609
I: 0.440 0.440 0.440

Results
Electronic total energy in eV/cell: -23.3
Raw formation energy in eV per atom: -0.6855
Mass density in g/cm³: 6.74
Crystal system: trigonal


Computed, not measured: a relaxed structure of LaPrSbI at the PBE level of DFT.

Unit cell a=4.588 b=4.588 c=6.425 alpha=90.00 beta=90.00 gamma=90.00
Sites, in units of the cell vectors:
La: 0.000 0.000 0.000
Pr: 0.500 0.500 0.500
Sb: 0.500 0.500 0.000
I: 0.000 0.000 0.500

Results
Electronic total energy in eV/cell: -19.7
Distance to the lowest polymorph of the same formula in meV/atom: 0
Raw formation energy in eV per atom: -1.0789
Mass density in g/cm³: 6.49
Crystal system: tetragonal


Computed, not measured: a relaxed structure of LaPrSbI at the PBE level of DFT.

Unit cell a=5.577 b=5.577 c=5.577 alpha=60.00 beta=60.00 gamma=60.00
Sites, in units of the cell vectors:
La: 0.000 0.000 0.000
Pr: 0.500 0.500 0.500
Sb: 0.250 0.250 0.250
I: 0.750 0.750 0.750

Results
Electronic total energy in eV/cell: -19.6
Distance to the lowest polymorph of the same formula in meV/atom: 27
Raw formation energy in eV per atom: -1.0520
Mass density in g/cm³: 7.15
Crystal system: cubic


Computed, not measured: a relaxed structure of LaPrSiI at the PBE level of DFT.

Unit cell a=8.401 b=8.401 c=8.401 alpha=29.92 beta=29.92 gamma=29.92
Sites, in units of the cell vectors:
La: 0.000 0.000 0.000
Pr: 0.799 0.799 0.799
Si: 0.401 0.401 0.401
I: 0.230 0.230 0.230

Results
Electronic total energy in eV/cell: -20.6
Raw formation energy in eV per atom: -0.9675
Mass density in g/cm³: 5.53
Crystal system: trigonal


Computed, not measured: a relaxed structure of LaPrSnI at the PBE level of DFT.

Unit cell a=5.614 b=5.614 c=5.614 alpha=60.00 beta=60.00 gamma=60.00
Sites, in units of the cell vectors:
La: 0.000 0.000 0.000
Pr: 0.500 0.500 0.500
Sn: 0.250 0.250 0.250
I: 0.750 0.750 0.750

Results
Electronic total energy in eV/cell: -18.5
Raw formation energy in eV per atom: -0.8122
Mass density in g/cm³: 6.98
Crystal system: cubic


Computed, not measured: a relaxed structure of LaPrTeI2 at the PBE level of DFT.

Unit cell a=7.857 b=4.449 c=11.870 alpha=90.00 beta=104.42 gamma=90.00
Sites, in units of the cell vectors:
La: 0.116 0.250 0.159
La: 0.884 0.750 0.841
Pr: 0.217 0.250 0.496
Pr: 0.783 0.750 0.504
Te: 0.016 0.750 0.322
Te: 0.984 0.250 0.678
I: 0.277 0.750 0.010
I: 0.483 0.750 0.661
I: 0.517 0.250 0.339
I: 0.723 0.250 0.990

Results
Electronic total energy in eV/cell: -45.4
Raw formation energy in eV per atom: -1.3494
Mass density in g/cm³: 5.46
Crystal system: monoclinic


Computed, not measured: a relaxed structure of LaPrTeI at the PBE level of DFT.

Unit cell a=5.552 b=5.552 c=5.552 alpha=60.00 beta=60.00 gamma=60.00
Sites, in units of the cell vectors:
La: 0.000 0.000 0.000
Pr: 0.500 0.500 0.500
Te: 0.750 0.750 0.750
I: 0.250 0.250 0.250

Results
Electronic total energy in eV/cell: -19.2
Distance to the lowest polymorph of the same formula in meV/atom: 0
Raw formation energy in eV per atom: -1.1997
Mass density in g/cm³: 7.33
Crystal system: cubic


Computed, not measured: a relaxed structure of LaPrTeI at the PBE level of DFT.

Unit cell a=7.800 b=7.800 c=7.800 alpha=34.61 beta=34.61 gamma=34.61
Sites, in units of the cell vectors:
La: 0.000 0.000 0.000
Pr: 0.520 0.520 0.520
Te: 0.258 0.258 0.258
I: 0.760 0.760 0.760

Results
Electronic total energy in eV/cell: -19.2
Distance to the lowest polymorph of the same formula in meV/atom: 6
Raw formation energy in eV per atom: -1.1934
Mass density in g/cm³: 6.49
Crystal system: trigonal


Computed, not measured: a relaxed structure of La4PtI5 at the PBE level of DFT.

Unit cell a=10.299 b=10.299 c=9.345 alpha=102.89 beta=102.89 gamma=24.18
Sites, in units of the cell vectors:
La: 0.000 0.000 0.210
La: 0.000 0.000 0.790
La: 0.349 0.349 0.919
La: 0.651 0.651 0.081
Pt: 0.500 0.500 0.000
I: 0.168 0.168 0.349
I: 0.174 0.174 0.825
I: 0.500 0.500 0.500
I: 0.826 0.826 0.175
I: 0.832 0.832 0.651

Results
Electronic total energy in eV/cell: -47.0
Raw formation energy in eV per atom: -1.3455
Mass density in g/cm³: 5.82
Crystal system: monoclinic